[1]
Entry from the Alexandria database: Er8SiSe4S3 after structural relaxation (PBE-GGA).

Cell and atoms, written as extended XYZ:
```
16
Lattice="7.916 0.000 0.000 0.000 8.040 0.083 -3.958 -3.953 5.599" Properties=species:S:1:pos:R:3 pbc="T T T"
Se 3.958 0.000 0.000
S 3.958 4.020 0.041
Se 1.979 -1.977 2.800
S 1.979 2.043 2.841
Er 5.945 2.134 0.102
Se -1.979 -1.977 2.800
Er -1.987 1.952 5.580
Er 0.000 3.927 2.769
Er 3.958 3.915 2.756
Se 0.000 0.000 0.000
Er 1.987 1.952 5.580
Er 3.958 0.160 2.913
Er 1.971 2.134 0.102
Er 0.000 0.172 2.926
Si 0.000 4.020 0.041
S -1.979 2.043 2.841
```

Values from the calculation:
SG = C2/m

[2]
Entry from the Alexandria database: Rb3HoO3 after structural relaxation (PBE-GGA).

Cell and atoms, written as extended XYZ:
```
28
Lattice="7.426 0.000 0.000 0.000 7.808 -0.518 0.000 0.013 11.928" Properties=species:S:1:pos:R:3 pbc="T T T"
O 1.078 5.816 10.931
Rb 2.795 0.602 7.842
Ho 4.388 1.247 0.756
Rb 1.432 4.852 7.891
O 6.348 2.005 0.479
Rb 6.508 7.227 9.532
O 4.791 2.012 6.443
O 7.053 6.907 6.586
Ho 6.751 1.254 6.720
O 3.340 0.921 10.788
Ho 3.038 6.574 10.655
Rb 4.889 5.053 6.580
O 4.103 5.476 9.215
Rb 2.281 4.845 1.927
Rb 2.537 2.768 4.830
Rb 0.918 0.595 1.878
O 7.036 5.469 3.251
Rb 1.176 2.775 10.794
O 0.390 2.352 8.159
Rb 5.145 2.976 9.483
Rb 6.250 5.046 0.616
O 4.086 6.901 0.622
O 3.323 2.346 2.195
Rb 4.631 7.220 3.568
Rb 5.994 2.970 3.519
Ho 0.675 6.568 4.691
O 0.373 0.914 4.824
O 2.635 5.810 4.967
```

Values from the calculation:
SG = P2_1/c
Energy relative to the lowest polymorph listed for this composition = 0.000 eV per atom

| no. | raw formation energy (meV per atom) |
| --- | --- |
| 1 | -1730 |
| 2 | -1934 |